(1)
Density functional theory data (PBE) for a relaxed Nd8Ge3S4Cl crystal.

Symmetry: R-3m
Total moment (μB/f.u.): 0.000
ρ (g cm⁻³): 6.2
Formation energy from raw total energies (eV/f.u.): -25.0

Structure (CIF):
```
data_Nd8Ge3S4Cl
_chemical_formula_sum 'Nd8 Ge3 S4 Cl1'
_cell_length_a 8.3773
_cell_length_b 8.3382
_cell_length_c 8.3773
_cell_angle_alpha 120.16
_cell_angle_beta 120.00
_cell_angle_gamma 90.00
_symmetry_space_group_name_H-M 'P 1'
_symmetry_Int_Tables_number 1
loop_
_symmetry_equiv_pos_as_xyz
'x,y,z'
loop_
_atom_site_label
_atom_site_fract_x
_atom_site_fract_y
_atom_site_fract_z
Nd1 0.2569 0.7557 0.9988
Nd2 0.2569 0.7557 0.5139
Nd3 0.2492 0.2476 0.4984
Nd4 0.7419 0.7557 0.9988
Nd5 0.2581 0.2443 0.0012
Nd6 0.7508 0.7524 0.5016
Nd7 0.7431 0.2443 0.4861
Nd8 0.7431 0.2443 0.0012
Ge1 0.5000 0.5000 0.0000
Ge2 0.5000 0.5000 0.5000
Ge3 0.0000 0.5000 0.5000
S1 0.5000 0.0000 0.0000
S2 0.5000 0.0000 0.5000
S3 0.0000 0.0000 0.0000
S4 0.0000 0.0000 0.5000
Cl1 0.0000 0.5000 0.0000
```

=====

(2)
Density functional theory data (PBE) for a relaxed AcPr2Pd3 crystal.

Symmetry: Immm
Energy of formation (eV per atom): -0.697
Total moment (μB/f.u.): 0.000
ρ (g cm⁻³): 8.2

Structure (CIF):
```
data_AcPr2Pd3
_chemical_formula_sum 'Ac1 Pr2 Pd3'
_cell_length_a 4.2949
_cell_length_b 6.0773
_cell_length_c 7.4486
_cell_angle_alpha 114.08
_cell_angle_beta 106.76
_cell_angle_gamma 90.00
_symmetry_space_group_name_H-M 'P 1'
_symmetry_Int_Tables_number 1
loop_
_symmetry_equiv_pos_as_xyz
'x,y,z'
loop_
_atom_site_label
_atom_site_fract_x
_atom_site_fract_y
_atom_site_fract_z
Ac1 0.0000 0.5000 0.0000
Pr1 0.6662 0.1662 0.3324
Pr2 0.3338 0.8338 0.6676
Pd1 0.3279 0.3279 0.6557
Pd2 0.0000 0.0000 0.0000
Pd3 0.6721 0.6721 0.3443
```

=====

(3)
Density functional theory data (PBE) for a relaxed Rb2InPb2 crystal.

Symmetry: C2/c
Energy of formation (eV per atom): -0.109
Total moment (μB/f.u.): 0.000
ρ (g cm⁻³): 5.3

Structure (CIF):
```
data_Rb2InPb2
_chemical_formula_sum 'Rb4 In2 Pb4'
_cell_length_a 7.5100
_cell_length_b 6.9895
_cell_length_c 9.9703
_cell_angle_alpha 97.46
_cell_angle_beta 90.00
_cell_angle_gamma 122.50
_symmetry_space_group_name_H-M 'P 1'
_symmetry_Int_Tables_number 1
loop_
_symmetry_equiv_pos_as_xyz
'x,y,z'
loop_
_atom_site_label
_atom_site_fract_x
_atom_site_fract_y
_atom_site_fract_z
Rb1 0.5368 0.3083 0.1589
Rb2 0.2285 0.6917 0.3411
Rb3 0.4632 0.6917 0.8411
Rb4 0.7715 0.3083 0.6589
In1 0.9303 0.0000 0.2500
In2 0.0697 0.0000 0.7500
Pb1 0.7428 0.7563 0.4913
Pb2 0.9865 0.2437 0.0087
Pb3 0.2572 0.2437 0.5087
Pb4 0.0135 0.7563 0.9913
```